[1]
VASP calculation (PBE) on an optimized crystal structure of Ac8NdPb2.

Results
Total magnetization ... 0.0 μB/f.u.
Density ... 8.04 g cm⁻³
E ... -89.12 eV/cell

a b c (Å): 16.5180 9.4599 6.8085
angles (deg): 90.00 112.86 90.00
Last column: nearest neighbours and their distance in Å.
Space group C2/m (No. 12)
Inequivalent atoms, fractional coordinates:
1 Ac 0.1020 0.2006 0.3962 (multiplicity 8)  2 Pb 3.42-3.54, 1 Nd 3.50, 3 Ac 3.80-3.83
2 Ac 0.1103 0.0000 0.9162 (multiplicity 4)  1 Pb 3.35
3 Ac 0.1341 0.5000 0.0367 (multiplicity 4)  1 Nd 3.46, 2 Pb 3.62-3.66
4 Nd 0.0000 0.5000 0.5000 (multiplicity 2)  2 Pb 3.38, 6 Ac 3.46-3.50
5 Pb 0.2183 0.5000 0.6128 (multiplicity 4)  7 Ac 3.35-3.66, 1 Nd 3.38

---

[2]
VASP calculation (PBE) on an optimized crystal structure of Ac2NdPb.

Results
Total magnetization ... 0.0 μB/f.u.
Density ... 8.92 g cm⁻³
Relative energy among the computed polymorphs ... 0.177 eV/atom

a b c (Å): 8.4334 8.4334 8.4334
angles (deg): 90.00 90.00 90.00
Last column: nearest neighbours and their distance in Å.
Space group Fm-3m (No. 225)
Inequivalent atoms, fractional coordinates:
1 Ac 0.2500 0.2500 0.2500 (multiplicity 8)  4 Pb 3.65, 4 Nd 3.65
2 Nd 0.0000 0.0000 0.0000 (multiplicity 4)  8 Ac 3.65
3 Pb 0.0000 0.0000 0.5000 (multiplicity 4)  8 Ac 3.65

---

[3]
VASP calculation (PBE) on an optimized crystal structure of Ac12NdPb6.

Results
Total magnetization ... 0.0 μB/f.u.
Density ... 8.47 g cm⁻³
E ... -238.15 eV/cell

a b c (Å): 16.0855 16.0855 10.7855
angles (deg): 90.00 90.00 120.00
Last column: nearest neighbours and their distance in Å.
Space group R-3 (No. 148, hexagonal axes)
Inequivalent atoms, fractional coordinates:
1 Ac 0.0530 0.8602 0.2974 (multiplicity 18)  3 Pb 3.35-3.58
2 Ac 0.0556 0.8050 0.9237 (multiplicity 18)  3 Pb 3.38-3.53, 1 Nd 3.76, 1 Ac 3.76
3 Nd 0.0000 0.0000 0.0000 (multiplicity 3)  6 Ac 3.76
4 Pb 0.0613 0.8094 0.5969 (multiplicity 18)  6 Ac 3.35-3.58

---

[4]
VASP calculation (PBE) on an optimized crystal structure of AcNd2Pb.

Results
Total magnetization ... 0.5 μB/f.u.
Density ... 8.74 g cm⁻³
Relative energy among the computed polymorphs ... 0.063 eV/atom

a b c (Å): 4.2357 4.2357 7.6527
angles (deg): 90.00 90.00 90.00
Last column: nearest neighbours and their distance in Å.
Space group P4/mmm (No. 123)
Inequivalent atoms, fractional coordinates:
1 Ac 0.0000 0.0000 0.0000 (multiplicity 1)  8 Nd 3.74, 2 Pb 3.83
2 Nd 0.5000 0.5000 0.2924 (multiplicity 2)  1 Nd 3.18, 4 Pb 3.39
3 Pb 0.0000 0.0000 0.5000 (multiplicity 1)  8 Nd 3.39